# 1
{
  "formula": "Rb2BeTlAs2",
  "functional": "PBE",
  "state": "optimized geometry",
  "lattice_angstrom": [[-4.7450, 4.1137, 2.9978], [0.2283, -3.6723, 5.4008], [7.9778, 4.3085, -1.3614]],
  "species": ["Rb", "Rb", "Rb", "Rb", "Be", "Be", "Tl", "Tl", "As", "As", "As", "As"],
  "frac_coords": [[0.4207, 0.1716, 0.3433], [0.5793, 0.8284, 0.6567], [0.0774, 0.3284, 0.6567], [0.9226, 0.6716, 0.3433], [0.5000, 0.7500, 0.0000], [0.5000, 0.2500, 0.0000], [0.0000, 0.7500, 0.0000], [0.0000, 0.2500, 0.0000], [0.7669, 0.0827, 0.1654], [0.3985, 0.5827, 0.1654], [0.6015, 0.4173, 0.8346], [0.2331, 0.9173, 0.8346]],
  "e_form_mev_per_atom": -207,
  "space_group": "Ibam",
  "n_ef_per_ev_cell": 1.9
}

=====

# 2
{
  "formula": "Mg7Sn2Hg2",
  "functional": "PBE",
  "state": "optimized geometry",
  "lattice_angstrom": [[-1.5610, -2.2283, -5.5060], [-6.3390, -3.3494, 3.1522], [-2.3993, 5.5508, 1.0722]],
  "species": ["Mg", "Mg", "Mg", "Mg", "Mg", "Mg", "Mg", "Sn", "Sn", "Hg", "Hg"],
  "frac_coords": [[0.0000, 0.2953, 0.4999], [0.4999, 0.7047, 0.0000], [0.0000, 0.7047, 0.5001], [0.5001, 0.2953, 0.0000], [0.0000, 0.0000, 0.0000], [0.5000, 0.7939, 0.5000], [0.5000, 0.2061, 0.5000], [0.7833, 0.5000, 0.7833], [0.2167, 0.5000, 0.2167], [0.7277, 0.0000, 0.2723], [0.2723, 0.0000, 0.7277]],
  "e_form_mev_per_atom": -99,
  "space_group": "Cmmm",
  "n_ef_per_ev_cell": 5.0
}

=====

# 3
{
  "formula": "CdFeIr2",
  "functional": "PBE",
  "state": "optimized geometry",
  "lattice_angstrom": [[4.4409, 0.0000, 0.0000], [2.2204, 3.8459, 0.0000], [2.2204, 1.2820, 3.6259]],
  "species": ["Cd", "Fe", "Ir", "Ir"],
  "frac_coords": [[0.5000, 0.5000, 0.5000], [0.7500, 0.7500, 0.7500], [0.0000, 0.0000, 0.0000], [0.2500, 0.2500, 0.2500]],
  "e_form_mev_per_atom": 400,
  "space_group": "F-43m",
  "n_ef_per_ev_cell": 6.0
}

=====

# 4
{
  "formula": "KIrAu2",
  "functional": "PBE",
  "state": "optimized geometry",
  "lattice_angstrom": [[-0.4296, -2.5830, -1.0803], [2.6626, 0.9384, -0.2314], [2.3123, -4.2697, 9.2895]],
  "species": ["Au", "Au", "Ir", "K"],
  "frac_coords": [[0.0000, 0.0000, 0.0178], [0.5000, 0.5000, 0.2582], [0.0000, 0.0000, 0.4826], [0.5000, 0.5000, 0.7414]],
  "e_form_mev_per_atom": 474,
  "space_group": "Cmm2",
  "e_above_lowest_polymorph_ev_per_fu": 0.73,
  "n_ef_per_ev_cell": 3.2
}

=====

# 5
{
  "formula": "GdTmMnGa",
  "functional": "PBE",
  "state": "optimized geometry",
  "lattice_angstrom": [[5.0272, 0.0000, 0.0000], [2.5136, 4.3537, 0.0000], [2.5136, 1.4512, 4.1047]],
  "species": ["Gd", "Mn", "Tm", "Ga"],
  "frac_coords": [[0.0000, 0.0000, 0.0000], [0.7500, 0.7500, 0.7500], [0.5000, 0.5000, 0.5000], [0.2500, 0.2500, 0.2500]],
  "e_form_mev_per_atom": -147,
  "space_group": "F-43m",
  "n_ef_per_ev_cell": 4.8
}

=====

# 6
{
  "formula": "TbSmCdNi",
  "functional": "PBE",
  "state": "optimized geometry",
  "lattice_angstrom": [[-2.1498, -4.5617, 0.8744], [2.9465, -4.1279, 0.6885], [0.3519, -2.1493, 4.6316]],
  "species": ["Ni", "Tb", "Sm", "Cd"],
  "frac_coords": [[0.7500, 0.7500, 0.7500], [0.5000, 0.5000, 0.5000], [0.0000, 0.0000, 0.0000], [0.2500, 0.2500, 0.2500]],
  "e_form_mev_per_atom": -232,
  "space_group": "F-43m",
  "n_ef_per_ev_cell": 2.8
}

=====

# 7
{
  "formula": "Li2ZnRe",
  "functional": "PBE",
  "state": "optimized geometry",
  "lattice_angstrom": [[-0.2285, 2.4346, 0.7041], [0.4304, -0.6594, 2.4197], [8.8229, 1.1884, -1.2457]],
  "species": ["Li", "Li", "Re", "Zn"],
  "frac_coords": [[0.0000, 0.0000, 0.0033], [0.0000, 0.0000, 0.4967], [0.5000, 0.5000, 0.2500], [0.5000, 0.5000, 0.7500]],
  "e_form_mev_per_atom": 117,
  "space_group": "P4/mmm",
  "n_ef_per_ev_cell": 1.8
}

=====

# 8
{
  "formula": "Ce2DyTm",
  "functional": "PBE",
  "state": "optimized geometry",
  "lattice_angstrom": [[5.6047, 0.0000, 0.0000], [2.8024, 4.8538, 0.0000], [2.8024, 1.6179, 4.5762]],
  "species": ["Tm", "Ce", "Ce", "Dy"],
  "frac_coords": [[0.5000, 0.5000, 0.5000], [0.2500, 0.2500, 0.2500], [0.7500, 0.7500, 0.7500], [0.0000, 0.0000, 0.0000]],
  "e_form_mev_per_atom": 216,
  "space_group": "Fm-3m",
  "e_above_lowest_polymorph_ev_per_fu": 0.53,
  "n_ef_per_ev_cell": 14.4
}

=====

# 9
{
  "formula": "Pm6Hg5Ru",
  "functional": "PBE",
  "state": "optimized geometry",
  "lattice_angstrom": [[5.0577, 0.4881, -1.5248], [-1.5920, 6.7332, -3.1291], [-0.0191, -0.0288, 9.1628]],
  "species": ["Ru", "Hg", "Hg", "Hg", "Hg", "Hg", "Pm", "Pm", "Pm", "Pm", "Pm", "Pm"],
  "frac_coords": [[0.0000, 0.0000, 0.0000], [0.3166, 0.8165, 0.6331], [0.6668, 0.6668, 0.3337], [0.0000, 0.5000, 0.0000], [0.3332, 0.3332, 0.6663], [0.6834, 0.1835, 0.3669], [0.1551, 0.3891, 0.3100], [0.1550, 0.9209, 0.3100], [0.5001, 0.2279, 0.0000], [0.4999, 0.7721, 0.0000], [0.8450, 0.0791, 0.6900], [0.8449, 0.6109, 0.6900]],
  "e_form_mev_per_atom": -442,
  "space_group": "Immm",
  "n_ef_per_ev_cell": 9.2
}

=====

# 10
{
  "formula": "NaScInBi",
  "functional": "PBE",
  "state": "optimized geometry",
  "lattice_angstrom": [[-3.0050, -4.2560, 0.8578], [1.9311, -4.8258, -0.9280], [1.0864, -3.2294, 4.0336]],
  "species": ["Sc", "Na", "Bi", "In"],
  "frac_coords": [[0.5000, 0.5000, 0.5000], [0.0000, 0.0000, 0.0000], [0.7500, 0.7500, 0.7500], [0.2500, 0.2500, 0.2500]],
  "e_form_mev_per_atom": -204,
  "space_group": "F-43m",
  "n_ef_per_ev_cell": 4.4
}

=====

# 11
{
  "formula": "Rb2CdSbCl6",
  "functional": "PBE",
  "state": "optimized geometry",
  "lattice_angstrom": [[7.7257, 0.0000, 0.0000], [0.0000, 7.7257, 0.0000], [3.8629, 3.8629, 5.4447]],
  "species": ["Sb", "Cl", "Cl", "Cl", "Cl", "Cl", "Cl", "Rb", "Rb", "Cd"],
  "frac_coords": [[0.0000, 0.0000, 0.0000], [0.2497, 0.2497, 0.5006], [0.7503, 0.7503, 0.4994], [0.2475, 0.2475, 0.0000], [0.7525, 0.7525, 0.0000], [0.7525, 0.2475, 0.0000], [0.2475, 0.7525, 0.0000], [0.7500, 0.2500, 0.5000], [0.2500, 0.7500, 0.5000], [0.5000, 0.5000, 0.0000]],
  "space_group": "I4/mmm",
  "n_ef_per_ev_cell": 2.6,
  "e_form_raw_mev_per_atom": -1261
}

=====

# 12
{
  "formula": "LiLa6Mg5",
  "functional": "PBE",
  "state": "optimized geometry",
  "lattice_angstrom": [[-1.7624, 4.3182, 3.0884], [-2.0343, -4.9916, 5.8196], [6.7826, 2.9102, 4.8674]],
  "species": ["Mg", "Mg", "Mg", "Mg", "Mg", "Li", "La", "La", "La", "La", "La", "La"],
  "frac_coords": [[0.6673, 0.5000, 0.6655], [0.3310, 0.0000, 0.3380], [0.0000, 0.5000, 0.0000], [0.6690, 0.0000, 0.6620], [0.3327, 0.5000, 0.3345], [0.0000, 0.0000, 0.0000], [0.8342, 0.7479, 0.3317], [0.8341, 0.2521, 0.3317], [0.5000, 0.2511, 0.0000], [0.5000, 0.7489, 0.0000], [0.1659, 0.7479, 0.6683], [0.1658, 0.2521, 0.6683]],
  "e_form_mev_per_atom": -81,
  "space_group": "Cmmm",
  "n_ef_per_ev_cell": 12.6
}

=====

# 13
{
  "formula": "TlTcAs2",
  "functional": "PBE",
  "state": "optimized geometry",
  "lattice_angstrom": [[-1.5567, -0.8478, 4.4002], [-2.3034, 3.3859, 2.3947], [-4.6512, -0.4274, 0.8293]],
  "species": ["As", "As", "Tl", "Tc"],
  "frac_coords": [[0.2500, 0.2500, 0.2500], [0.7500, 0.7500, 0.7500], [0.5000, 0.5000, 0.5000], [0.0000, 0.0000, 0.0000]],
  "e_form_mev_per_atom": 590,
  "space_group": "Fm-3m",
  "e_above_lowest_polymorph_ev_per_fu": 2.85,
  "n_ef_per_ev_cell": 3.9
}

=====

# 14
{
  "formula": "LuNbIrPd",
  "functional": "PBE",
  "state": "optimized geometry",
  "lattice_angstrom": [[-3.5810, 1.9562, -2.2752], [-3.5482, -2.6491, -1.4897], [-4.1808, 0.3216, 2.0601]],
  "species": ["Nb", "Ir", "Lu", "Pd"],
  "frac_coords": [[0.2500, 0.2500, 0.2500], [0.0000, 0.0000, 0.0000], [0.7500, 0.7500, 0.7500], [0.5000, 0.5000, 0.5000]],
  "e_form_mev_per_atom": -520,
  "space_group": "F-43m",
  "n_ef_per_ev_cell": 5.0
}

=====

# 15
{
  "formula": "TbY3Ga4",
  "functional": "PBE",
  "state": "optimized geometry",
  "lattice_angstrom": [[-4.2581, -2.0618, -1.8196], [-0.5721, -4.0171, 5.8906], [-5.4391, 7.3036, 4.4524]],
  "species": ["Y", "Y", "Y", "Y", "Y", "Y", "Tb", "Tb", "Ga", "Ga", "Ga", "Ga", "Ga", "Ga", "Ga", "Ga"],
  "frac_coords": [[0.0000, 0.0000, 0.0000], [0.0000, 0.0000, 0.5000], [0.5003, 0.0000, 0.7500], [0.4997, 0.0000, 0.2500], [0.5002, 0.5000, 0.7500], [0.4998, 0.5000, 0.2500], [0.0000, 0.5000, 0.0000], [0.0000, 0.5000, 0.5000], [0.5000, 0.7506, 0.0000], [0.5000, 0.7506, 0.5000], [0.5000, 0.2494, 0.0000], [0.5000, 0.2494, 0.5000], [0.0003, 0.7506, 0.7500], [0.9997, 0.7506, 0.2500], [0.9997, 0.2494, 0.2500], [0.0003, 0.2494, 0.7500]],
  "e_form_mev_per_atom": -600,
  "space_group": "P4/mmm",
  "n_ef_per_ev_cell": 5.7
}

=====

# 16
{
  "formula": "BaTi3Mn2S8",
  "functional": "PBE",
  "state": "optimized geometry",
  "lattice_angstrom": [[7.5332, 0.0000, 0.0000], [3.7666, 6.5240, 0.0000], [3.7666, 2.1747, 5.6684]],
  "species": ["Ba", "Ti", "Ti", "Ti", "Mn", "Mn", "S", "S", "S", "S", "S", "S", "S", "S"],
  "frac_coords": [[0.9373, 0.9373, 0.1881], [0.5093, 0.9865, 0.9949], [0.9865, 0.5093, 0.9949], [0.5093, 0.5093, 0.9949], [0.1299, 0.1299, 0.6102], [0.4735, 0.4735, 0.5794], [0.2633, 0.2633, 0.2102], [0.7484, 0.7484, 0.7549], [0.2455, 0.2455, 0.7782], [0.7309, 0.2455, 0.7782], [0.2455, 0.7309, 0.7782], [0.6947, 0.3240, 0.2867], [0.3240, 0.6947, 0.2867], [0.6947, 0.6947, 0.2867]],
  "space_group": "R3m",
  "n_ef_per_ev_cell": 5.7,
  "e_form_raw_mev_per_atom": -1068
}

=====

# 17
{
  "formula": "NaTcIO2",
  "functional": "PBE",
  "state": "optimized geometry",
  "lattice_angstrom": [[3.9156, 0.0000, 0.0000], [0.0000, 3.9156, 0.0000], [0.0000, 0.0000, 6.0556]],
  "species": ["I", "Na", "Tc", "O", "O"],
  "frac_coords": [[0.0000, 0.0000, 0.5000], [0.5000, 0.5000, 0.5000], [0.0000, 0.0000, 0.0000], [0.0000, 0.5000, 0.0000], [0.5000, 0.0000, 0.0000]],
  "space_group": "P4/mmm",
  "e_above_lowest_polymorph_ev_per_fu": 0.00,
  "n_ef_per_ev_cell": 2.0,
  "e_form_raw_mev_per_atom": -933
}

=====

# 18
{
  "formula": "ZnCu2Hg",
  "functional": "PBE",
  "state": "optimized geometry",
  "lattice_angstrom": [[5.0041, -0.0479, -0.0872], [2.1332, 4.5269, 0.0872], [-3.2486, -2.7495, 2.6339]],
  "species": ["Cu", "Cu", "Hg", "Zn"],
  "frac_coords": [[0.9952, 0.9952, 0.0000], [0.7630, 0.2630, 0.5000], [0.5036, 0.5036, 0.0000], [0.2382, 0.7382, 0.5000]],
  "e_form_mev_per_atom": 99,
  "space_group": "Imm2",
  "n_ef_per_ev_cell": 0.8
}

=====

# 19
{
  "formula": "CsSmCrI6",
  "functional": "PBE",
  "state": "optimized geometry",
  "lattice_angstrom": [[7.7788, 0.0010, 0.0003], [3.8903, 6.7365, -0.0006], [0.0005, -0.0015, 8.7165]],
  "species": ["Cs", "Sm", "Cr", "I", "I", "I", "I", "I", "I"],
  "frac_coords": [[0.9999, 0.0000, 0.0000], [0.6666, 0.6666, 0.5000], [0.3333, 0.3333, 0.5000], [0.0195, 0.3617, 0.3027], [0.3617, 0.0195, 0.6973], [0.6188, 0.3617, 0.6972], [0.0195, 0.6188, 0.6971], [0.3617, 0.6188, 0.3027], [0.6188, 0.0195, 0.3029]],
  "space_group": "P312",
  "n_ef_per_ev_cell": 6.8,
  "e_form_raw_mev_per_atom": -1045
}

=====

# 20
{
  "formula": "MgCu2MoS",
  "functional": "PBE",
  "state": "optimized geometry",
  "lattice_angstrom": [[-0.4961, -2.8140, 3.2923], [4.7422, -0.4330, 0.3444], [0.0956, 3.3059, 2.8400]],
  "species": ["Mg", "Mo", "S", "Cu", "Cu"],
  "frac_coords": [[0.0000, 0.5000, 0.0000], [0.5000, 0.5000, 0.5000], [0.0000, 0.0000, 0.0000], [0.0000, 0.0000, 0.5000], [0.5000, 0.0000, 0.0000]],
  "space_group": "P4/mmm",
  "n_ef_per_ev_cell": 3.1,
  "e_form_raw_mev_per_atom": 765
}

=====

# 21
{
  "formula": "MgReP",
  "functional": "PBE",
  "state": "optimized geometry",
  "lattice_angstrom": [[-1.0851, 0.1412, -3.9086], [2.6833, -0.9682, -2.8874], [-0.4410, -3.4396, -2.1093]],
  "species": ["Mg", "P", "Re"],
  "frac_coords": [[0.5000, 0.5000, 0.5000], [0.7500, 0.7500, 0.7500], [0.0000, 0.0000, 0.0000]],
  "e_form_mev_per_atom": 61,
  "space_group": "F-43m",
  "e_above_lowest_polymorph_ev_per_fu": 1.00,
  "n_ef_per_ev_cell": 1.3
}

=====

# 22
{
  "formula": "ScCu2PtC",
  "functional": "PBE",
  "state": "optimized geometry",
  "lattice_angstrom": [[4.7815, 0.0000, 0.0000], [0.0000, 4.7454, 0.0000], [0.0000, 0.0000, 4.7815]],
  "species": ["Sc", "C", "Cu", "Cu", "Pt"],
  "frac_coords": [[0.0000, 0.0000, 0.0000], [0.5000, 0.5000, 0.5000], [0.0000, 0.0000, 0.5000], [0.5000, 0.0000, 0.0000], [0.0000, 0.5000, 0.0000]],
  "e_form_mev_per_atom": 2239,
  "space_group": "P4/mmm",
  "n_ef_per_ev_cell": 3.1
}

=====

# 23
{
  "formula": "Pr8As4PS3",
  "functional": "PBE",
  "state": "optimized geometry",
  "lattice_angstrom": [[-2.9314, 3.3884, -7.1780], [2.5356, -6.8333, -4.2612], [-5.1192, -0.8302, 6.6861]],
  "species": ["Pr", "Pr", "Pr", "Pr", "Pr", "Pr", "Pr", "Pr", "As", "As", "As", "As", "P", "S", "S", "S"],
  "frac_coords": [[0.2474, 0.7466, 0.9991], [0.2474, 0.7465, 0.4948], [0.2502, 0.2504, 0.5003], [0.7517, 0.7466, 0.9991], [0.2483, 0.2534, 0.0009], [0.7498, 0.7496, 0.4997], [0.7526, 0.2535, 0.5052], [0.7526, 0.2534, 0.0009], [0.5000, 0.0000, 0.0000], [0.5000, 0.0000, 0.5000], [0.0000, 0.0000, 0.0000], [0.0000, 0.0000, 0.5000], [0.0000, 0.5000, 0.0000], [0.5000, 0.5000, 0.0000], [0.5000, 0.5000, 0.5000], [0.0000, 0.5000, 0.5000]],
  "space_group": "R-3m",
  "n_ef_per_ev_cell": 4.3,
  "e_form_raw_mev_per_atom": -1735
}

=====

# 24
{
  "formula": "Hg2Se",
  "functional": "PBE",
  "state": "optimized geometry",
  "lattice_angstrom": [[-1.0228, -4.0610, -4.0426], [-1.1828, -5.6946, -0.2306], [-4.3727, -3.4614, -1.6669]],
  "species": ["Hg", "Hg", "Se"],
  "frac_coords": [[0.7718, 0.7718, 0.7718], [0.5581, 0.5581, 0.5581], [0.0034, 0.0034, 0.0034]],
  "space_group": "R3m",
  "e_above_lowest_polymorph_ev_per_fu": 0.40,
  "n_ef_per_ev_cell": 1.1,
  "e_form_raw_mev_per_atom": 41
}

=====

# 25
{
  "formula": "Li2ErHg2",
  "functional": "PBE",
  "state": "optimized geometry",
  "lattice_angstrom": [[-0.7607, -1.8319, 3.1147], [3.3388, -5.6566, -2.5114], [4.7622, 7.8652, 3.5998]],
  "species": ["Li", "Li", "Li", "Li", "Er", "Er", "Hg", "Hg", "Hg", "Hg"],
  "frac_coords": [[0.7974, 0.4454, 0.5949], [0.2025, 0.0546, 0.4051], [0.2026, 0.5546, 0.4051], [0.7975, 0.9454, 0.5949], [0.0000, 0.7500, 0.0000], [0.0000, 0.2500, 0.0000], [0.6159, 0.1753, 0.2317], [0.6158, 0.6753, 0.2317], [0.3841, 0.8247, 0.7683], [0.3842, 0.3247, 0.7683]],
  "e_form_mev_per_atom": -361,
  "space_group": "C2/m",
  "e_above_lowest_polymorph_ev_per_fu": 0.00,
  "n_ef_per_ev_cell": 4.7
}